This record from the Alexandria database describes a relaxed structure of LiCo2Ru. The functional is GGA-PBEsol.

Geometry as POSCAR:
```
LiCo2Ru
1.0
-0.799 -1.041 -2.230
2.907 -3.061 0.387
-3.846 -0.333 3.036
Co Li Ru
2 1 1
Direct
0.263 0.763 0.526
0.991 0.991 0.983
0.509 0.509 0.017
0.737 0.237 0.474
```

Values from the calculation:
Space group ... No. 44
Excess energy over the best structure of this formula in the dataset ... 8.8 meV/atom
Uncorrected energy ... -6.6485 eV/atom
Magnetic moment ... 0.910 μB per atom
Crystal system ... orthorhombic
Mass density ... 8.1 g cm⁻³
Formation enthalpy at 0 K ... 0.2549 eV/atom

This record from the Alexandria database describes a relaxed structure of LiCo3S. The functional is GGA-PBEsol.

Geometry as POSCAR:
```
LiCo3S
1.0
3.879 0.000 0.000
0.000 3.879 0.000
0.000 0.000 3.879
Co Li S
3 1 1
Direct
0.000 0.000 0.500
0.000 0.500 0.000
0.500 0.000 0.000
0.000 0.000 0.000
0.500 0.500 0.500
```

Values from the calculation:
Space group ... No. 221
Uncorrected energy ... -4.7548 eV/atom
Magnetic moment ... 0.945 μB per atom
Crystal system ... cubic
Mass density ... 6.1 g cm⁻³

This record from the Alexandria database describes a relaxed structure of Li2CoSb2. The functional is GGA-PBEsol.

Geometry as POSCAR:
```
Li2CoSb2
1.0
-1.982 3.488 2.117
-4.990 -3.805 1.598
3.004 -1.631 5.499
Sb Co Li
4 2 4
Direct
0.000 0.155 0.345
0.000 0.845 0.655
0.000 0.655 0.155
0.000 0.345 0.845
0.000 0.000 0.000
0.000 0.500 0.500
0.500 0.164 0.664
0.500 0.836 0.336
0.500 0.336 0.164
0.500 0.664 0.836
```

Values from the calculation:
Space group ... No. 127
Uncorrected energy ... -4.4322 eV/atom
Magnetic moment ... 0.000 μB per atom
Crystal system ... tetragonal
Mass density ... 5.5 g cm⁻³

This record from the Alexandria database describes a relaxed structure of LiCo2Sb. The functional is GGA-PBEsol.

Geometry as POSCAR:
```
LiCo2Sb
1.0
-2.605 -1.252 0.394
1.408 -2.187 2.358
-1.069 3.427 3.818
Co Sb Li
2 1 1
Direct
0.500 0.500 0.244
0.000 0.000 0.020
0.500 0.500 0.762
0.000 0.000 0.474
```

Values from the calculation:
Space group ... No. 25
Uncorrected energy ... -5.3594 eV/atom
Magnetic moment ... 0.574 μB per atom
Crystal system ... orthorhombic
Mass density ... 7.6 g cm⁻³

This record from the Alexandria database describes a relaxed structure of LiCoSb3. The functional is GGA-PBEsol.

Geometry as POSCAR:
```
LiCoSb3
1.0
4.947 0.000 0.000
0.000 4.947 0.000
0.000 0.000 4.947
Co Sb Li
1 3 1
Direct
0.000 0.000 0.000
0.000 0.500 0.000
0.500 0.000 0.000
0.000 0.000 0.500
0.500 0.500 0.500
```

Values from the calculation:
Space group ... No. 221
Uncorrected energy ... -4.4895 eV/atom
Magnetic moment ... 0.000 μB per atom
Crystal system ... cubic
Mass density ... 5.9 g cm⁻³

This record from the Alexandria database describes a relaxed structure of Li2ScCo. The functional is GGA-PBEsol.

Geometry as POSCAR:
```
Li2ScCo
1.0
3.532 0.000 0.000
0.000 3.532 0.000
-1.766 -1.766 4.733
Co Li Sc
1 2 1
Direct
0.000 0.000 0.000
0.250 0.750 0.500
0.750 0.250 0.500
0.500 0.500 0.000
```

Values from the calculation:
Space group ... No. 139
Excess energy over the best structure of this formula in the dataset ... 0.0 meV/atom
Uncorrected energy ... -4.4982 eV/atom
Magnetic moment ... 0.000 μB per atom
Crystal system ... tetragonal
Mass density ... 3.3 g cm⁻³
Formation enthalpy at 0 K ... 0.0707 eV/atom